First-principles (GGA-PBE) data for an optimized crystal structure of BaAl3Si, as listed in Alexandria.

Cell lengths 5.818, 5.818, 5.818 Å; angles 90.00, 90.00, 90.00 degrees
Fractional positions:
Si1 0.500 0.500 0.500
Ba1 0.000 0.000 0.000
Al1 0.000 0.500 0.000
Al2 0.000 0.000 0.500
Al3 0.500 0.000 0.000

Values from the calculation:
Uncorrected formation energy: 8.90 eV per formula unit
Total DFT energy (no corrections): -9.669 eV for the cell shown
SG: No. 221

***

First-principles (GGA-PBE) data for an optimized crystal structure of FeH4, as listed in Alexandria.

Cell lengths 3.692, 2.874, 4.174 Å; angles 78.33, 90.00, 90.00 degrees
Fractional positions:
Fe1 0.750 0.501 0.766
Fe2 0.250 0.499 0.234
H1 0.497 0.209 0.563
H2 0.997 0.791 0.437
H3 0.503 0.791 0.437
H4 0.003 0.209 0.563
H5 0.250 0.543 0.849
H6 0.750 0.457 0.151
H7 0.500 0.000 0.000
H8 0.000 0.000 0.000

Values from the calculation:
Total DFT energy (no corrections): -40.489 eV for the cell shown
SG: No. 11

***

First-principles (GGA-PBE) data for an optimized crystal structure of AcEr2Pb2, as listed in Alexandria.

Cell lengths 5.349, 5.349, 7.172 Å; angles 68.09, 68.09, 59.99 degrees
Fractional positions:
Ac1 0.000 0.500 0.000
Er1 0.204 0.704 0.388
Er2 0.796 0.296 0.612
Pb1 0.584 0.084 0.247
Pb2 0.416 0.916 0.753

Values from the calculation:
Total DFT energy (no corrections): -22.408 eV for the cell shown
ΔH_f (0 K): -0.35 eV per atom
SG: No. 166

***

First-principles (GGA-PBE) data for an optimized crystal structure of NpBiH2, as listed in Alexandria.

Cell lengths 3.670, 3.670, 5.800 Å; angles 71.56, 71.56, 60.00 degrees
Fractional positions:
Np1 0.000 0.000 0.000
H1 0.696 0.696 0.913
H2 0.304 0.304 0.087
Bi1 0.500 0.500 0.500

Values from the calculation:
Total DFT energy (no corrections): -24.045 eV for the cell shown
SG: No. 166

***

First-principles (GGA-PBE) data for an optimized crystal structure of YZrPa2, as listed in Alexandria.

Cell lengths 5.295, 5.295, 5.299 Å; angles 60.02, 60.02, 60.00 degrees
Fractional positions:
Y1 0.000 0.000 0.000
Pa1 0.750 0.750 0.749
Pa2 0.250 0.250 0.251
Zr1 0.500 0.500 0.500

Values from the calculation:
Total DFT energy (no corrections): -32.221 eV for the cell shown
ΔH_f (0 K): 0.45 eV per atom
SG: No. 225

***

First-principles (GGA-PBE) data for an optimized crystal structure of LaAlRu2, as listed in Alexandria.

Cell lengths 5.521, 5.306, 3.009 Å; angles 74.71, 87.81, 120.63 degrees
Fractional positions:
Ru1 0.000 0.000 0.000
Ru2 0.500 0.000 0.500
Al1 0.000 0.500 0.500
La1 0.500 0.500 0.000

Values from the calculation:
Total DFT energy (no corrections): -27.123 eV for the cell shown
ΔH_f (0 K): 0.02 eV per atom
SG: No. 12

***

First-principles (GGA-PBE) data for an optimized crystal structure of Pr6SmDy2Ho, as listed in Alexandria.

Cell lengths 9.740, 9.016, 9.016 Å; angles 117.53, 93.89, 93.89 degrees
Fractional positions:
Pr1 0.054 0.115 0.760
Pr2 0.446 0.240 0.885
Pr3 0.946 0.885 0.240
Pr4 0.554 0.760 0.115
Pr5 0.312 0.993 0.436
Pr6 0.188 0.564 0.007
Pr7 0.688 0.007 0.564
Pr8 0.812 0.436 0.993
Pr9 0.118 0.706 0.489
Pr10 0.382 0.511 0.294
Pr11 0.882 0.294 0.511
Pr12 0.618 0.489 0.706
Sm1 0.250 0.973 0.027
Sm2 0.750 0.027 0.973
Dy1 0.453 0.800 0.703
Dy2 0.047 0.297 0.200
Dy3 0.547 0.200 0.297
Dy4 0.953 0.703 0.800
Ho1 0.250 0.411 0.589
Ho2 0.750 0.589 0.411

Values from the calculation:
Total DFT energy (no corrections): -92.078 eV for the cell shown
ΔH_f (0 K): 0.11 eV per atom
SG: No. 15

***

Question: Among the records above, which one has the lowest total DFT energy (no corrections)?
Answer: Pr6SmDy2Ho